Compound: LaScTi
Source: Alexandria
Functional: PBE
Structure: optimized geometry

Values from the calculation:
The size of the total moment is 0.00 Bohr magnetons per cell. The calculation puts the formation enthalpy at 0 K at 269 meV/atom.

CIF file:
```
data_LaScTi
_space_group_name_H-M_alt 'A m m 2'
_space_group_IT_number 38
_space_group_name_Hall 'A 2 -2'
_cell_length_a 16.084
_cell_length_b 3.285
_cell_length_c 5.682
_cell_angle_alpha 90.00
_cell_angle_beta 90.00
_cell_angle_gamma 90.00
loop_
_atom_site_label
_atom_site_type_symbol
_atom_site_fract_x
_atom_site_fract_y
_atom_site_fract_z
La1 La 0.187 0.000 0.000
Sc1 Sc 0.000 0.000 0.668
Sc2 Sc 0.500 0.000 0.997
Ti1 Ti 0.354 0.000 0.663
```